[1]
## Th2Al7 (PBE-GGA)

Data for an optimized crystal structure of Th2Al7.

Lattice parameters (Å, degrees): 5.640 5.640 13.608 78.04 78.04 60.00
Element x y z (fractional)
Th 0.052 0.052 0.845
Th 0.948 0.948 0.155
Th 0.150 0.150 0.551
Th 0.850 0.850 0.449
Al 0.500 0.500 0.500
Al 0.279 0.279 0.163
Al 0.721 0.721 0.837
Al 0.388 0.388 0.835
Al 0.612 0.612 0.165
Al 0.500 0.000 0.000
Al 0.000 0.500 0.000
Al 0.500 0.500 0.000
Al 0.612 0.612 0.671
Al 0.612 0.105 0.671
Al 0.105 0.612 0.671
Al 0.388 0.388 0.329
Al 0.388 0.895 0.329
Al 0.895 0.388 0.329

Properties
density of states at the Fermi level = 5.62 states/eV/f.u.
distance to the lowest polymorph of the same formula = 51 meV per atom
DFT total energy = -4.85 eV/atom
symmetry = R-3m
energy of formation = -0.290 eV/atom


[2]
## Be2TcAu (PBE-GGA)

Data for an optimized crystal structure of Be2TcAu.

Lattice parameters (Å, degrees): 7.925 7.926 7.926 20.14 20.15 20.15
Element x y z (fractional)
Be 0.998 0.998 0.998
Be 0.502 0.502 0.502
Au 0.750 0.750 0.750
Tc 0.250 0.250 0.250

Properties
density of states at the Fermi level = 2.72 states/eV/f.u.
distance to the lowest polymorph of the same formula = 240 meV per atom
DFT total energy = -5.14 eV/atom
symmetry = R-3m
energy of formation = 0.130 eV/atom


[3]
## Sc2InSe4 (PBE-GGA)

Data for an optimized crystal structure of Sc2InSe4.

Lattice parameters (Å, degrees): 3.845 6.724 13.657 90.00 90.00 106.61
Element x y z (fractional)
Sc 0.136 0.271 0.436
Sc 0.864 0.729 0.936
Sc 0.136 0.271 0.064
Sc 0.864 0.729 0.564
In 0.603 0.207 0.750
In 0.397 0.793 0.250
Se 0.772 0.544 0.114
Se 0.772 0.544 0.386
Se 0.228 0.456 0.886
Se 0.228 0.456 0.614
Se 0.945 0.890 0.750
Se 0.055 0.110 0.250
Se 0.500 0.000 0.000
Se 0.500 0.000 0.500

Properties
density of states at the Fermi level = 2.10 states/eV/f.u.
DFT total energy = -5.46 eV/atom
raw formation energy = -1273 meV/atom
symmetry = Cmcm


[4]
## NdMg2CdAu2 (PBE-GGA)

Data for an optimized crystal structure of NdMg2CdAu2.

Lattice parameters (Å, degrees): 4.757 4.757 6.720 90.00 90.00 120.00
Element x y z (fractional)
Nd 0.000 0.000 0.000
Mg 0.333 0.667 0.677
Mg 0.667 0.333 0.323
Cd 0.000 0.000 0.500
Au 0.333 0.667 0.246
Au 0.667 0.333 0.754

Properties
density of states at the Fermi level = 3.57 states/eV/f.u.
DFT total energy = -3.13 eV/atom
symmetry = P-3m1
energy of formation = -0.563 eV/atom


[5]
## Li4Pa3MoN8 (PBE-GGA)

Data for an optimized crystal structure of Li4Pa3MoN8.

Lattice parameters (Å, degrees): 6.843 6.433 6.842 122.15 120.01 90.00
Element x y z (fractional)
Li 0.500 0.000 0.000
Li 0.500 0.000 0.500
Li 0.000 0.000 0.000
Li 0.000 0.000 0.500
Pa 0.500 0.500 0.000
Pa 0.500 0.500 0.500
Pa 0.000 0.500 0.500
Mo 0.000 0.500 0.000
N 0.228 0.711 0.983
N 0.228 0.711 0.457
N 0.261 0.285 0.523
N 0.754 0.711 0.983
N 0.246 0.289 0.017
N 0.739 0.715 0.477
N 0.772 0.289 0.543
N 0.772 0.289 0.017

Properties
density of states at the Fermi level = 2.81 states/eV/f.u.
DFT total energy = -8.11 eV/atom
raw formation energy = -1014 meV/atom
symmetry = R-3m


[6]
## Cu4SI3 (PBE-GGA)

Data for an optimized crystal structure of Cu4SI3.

Lattice parameters (Å, degrees): 6.600 6.600 6.600 104.76 109.12 114.68
Element x y z (fractional)
Cu 0.176 0.666 0.843
Cu 0.176 0.334 0.510
Cu 0.583 0.193 0.390
Cu 0.196 0.807 0.390
S 0.952 0.500 0.452
I 0.499 0.264 0.763
I 0.069 0.000 0.069
I 0.499 0.736 0.236

Properties
density of states at the Fermi level = 5.38 states/eV/f.u.
DFT total energy = -3.22 eV/atom
raw formation energy = -73 meV/atom
symmetry = Imm2


[7]
## KAsPt2 (PBE-GGA)

Data for an optimized crystal structure of KAsPt2.

Lattice parameters (Å, degrees): 6.035 6.035 6.035 152.15 125.98 61.85
Element x y z (fractional)
As 0.544 0.544 0.000
K 0.261 0.761 0.500
Pt 0.961 0.961 0.000
Pt 0.734 0.234 0.500

Properties
density of states at the Fermi level = 1.80 states/eV/f.u.
DFT total energy = -4.50 eV/atom
symmetry = Imm2
energy of formation = -0.041 eV/atom


[8]
## KSeI2O (PBE-GGA)

Data for an optimized crystal structure of KSeI2O.

Lattice parameters (Å, degrees): 6.140 6.140 3.910 90.00 90.00 90.00
Element x y z (fractional)
I 0.000 0.500 0.000
I 0.500 0.000 0.000
K 0.500 0.500 0.500
O 0.000 0.000 0.500
Se 0.000 0.000 0.000

Properties
density of states at the Fermi level = 0.26 states/eV/f.u.
distance to the lowest polymorph of the same formula = 0 meV per atom
DFT total energy = -3.09 eV/atom
raw formation energy = -562 meV/atom
symmetry = P4/mmm


> Which value of DFT total energy does entry 3 give?

-5.46 eV/atom